The following is a DFT calculation (PBE) of an optimized crystal structure of NpSnCl6.

a b c (Å): 6.7303 6.7323 7.3352
angles (deg): 90.02 117.28 119.98
Last column: nearest neighbours and their distance in Å.
Sites, in units of the cell vectors:
Cl (0.1688, 0.7657, 0.2414)  1 Np 2.62, 1 Sn 2.83
Np (0.0000, 0.0000, 0.0000)  6 Cl 2.62
Cl (0.8312, 0.2343, 0.7586)  1 Np 2.62, 1 Sn 2.83
Sn (0.0000, 0.5000, 0.5000)  6 Cl 2.83-2.84
Cl (0.1618, 0.9274, 0.7586)  1 Np 2.62, 1 Sn 2.83
Cl (0.8382, 0.0726, 0.2414)  1 Np 2.62, 1 Sn 2.83
Cl (0.5243, 0.5968, 0.7587)  1 Np 2.62, 1 Sn 2.84
Cl (0.4757, 0.4032, 0.2413)  1 Np 2.62, 1 Sn 2.84

Calculated values
V: 244.3 Å³/f.u.
theoretical density: 3.86 g/cm3
M_tot: 3.000 μB/f.u.
calculated total energy: -4.891 eV/atom